The following is a PBE calculation of a relaxed structure of Nd2HoBr, from Alexandria via LeMat-Bulk.

energy = -4.4159 eV/atom
E_form (uncorrected) = -0.469 eV per atom
magnetic moment = 0.0000 μB per atom
E above lowest polymorph = 75 meV/atom

a = 3.594 Å, b = 3.594 Å, c = 9.680 Å
α = 90.00°, β = 90.00°, γ = 90.00°
Space group P4/mmm (No. 123)
One atom of each set of equivalent atoms:
1 Nd 0.000 0.000 0.236 x2
2 Ho 0.500 0.500 0.500 x1
3 Br 0.500 0.500 0.000 x1